(1)
LaNd3Sm6: relaxed, GGA-PBE.

polymorph energy (0 for the lowest one) = 2.57 kcal/mol of atoms

```
data_LaNd3Sm6
_symmetry_space_group_name_H-M 'R 3 2'
_symmetry_Int_Tables_number 155
_symmetry_space_group_name_Hall 'R 3 2"'
_cell_length_a 10.0851
_cell_length_b 10.0851
_cell_length_c 11.9057
_cell_angle_alpha 90.00
_cell_angle_beta 90.00
_cell_angle_gamma 120.00
loop_
_atom_site_label
_atom_site_type_symbol
_atom_site_fract_x
_atom_site_fract_y
_atom_site_fract_z
La1 La 0.0000 0.0000 0.0000
Nd1 Nd 0.0000 0.0000 0.2505
Nd2 Nd 0.0000 0.0000 0.5000
Sm1 Sm 0.0000 0.3263 0.0000
Sm2 Sm 0.0000 0.6759 0.5000
```

(2)
LiPm2Si3Pt4: relaxed, GGA-PBE.

formation energy without anion corrections = -1038 kJ/mol of formula units

```
data_LiPm2Si3Pt4
_symmetry_space_group_name_H-M 'P -4 m 2'
_symmetry_Int_Tables_number 115
_symmetry_space_group_name_Hall 'P -4 -2'
_cell_length_a 4.237
_cell_length_b 4.237
_cell_length_c 9.915
_cell_angle_alpha 90.00
_cell_angle_beta 90.00
_cell_angle_gamma 90.00
loop_
_atom_site_label
_atom_site_type_symbol
_atom_site_fract_x
_atom_site_fract_y
_atom_site_fract_z
Li1 Li 0.000 0.000 0.000
Pm1 Pm 0.000 0.500 0.755
Si1 Si 0.000 0.500 0.367
Si2 Si 0.500 0.500 0.000
Pt1 Pt 0.000 0.000 0.500
Pt2 Pt 0.000 0.500 0.128
Pt3 Pt 0.500 0.500 0.500
```

(3)
AlSn2F: relaxed, GGA-PBE.

polymorph energy (0 for the lowest one) = 2.97 kcal/mol of atoms
formation energy without anion corrections = -170 kJ/mol of formula units

```
data_AlSn2F
_symmetry_space_group_name_H-M 'I -4 2 d'
_symmetry_Int_Tables_number 122
_symmetry_space_group_name_Hall 'I -4 2bw'
_cell_length_a 4.963
_cell_length_b 4.963
_cell_length_c 15.881
_cell_angle_alpha 90.00
_cell_angle_beta 90.00
_cell_angle_gamma 90.00
loop_
_atom_site_label
_atom_site_type_symbol
_atom_site_fract_x
_atom_site_fract_y
_atom_site_fract_z
Al1 Al 0.000 0.000 0.000
Sn1 Sn 0.179 0.250 0.625
F1 F 0.000 0.000 0.500
```

(4)
Tb2Sm3DyBi6: relaxed, GGA-PBE.

total energy = -5.174 eV/atom

```
data_Tb2Sm3DyBi6
_symmetry_space_group_name_H-M 'C 1 2/m 1'
_symmetry_Int_Tables_number 12
_symmetry_space_group_name_Hall '-C 2y'
_cell_length_a 19.706
_cell_length_b 4.523
_cell_length_c 9.044
_cell_angle_alpha 90.00
_cell_angle_beta 103.19
_cell_angle_gamma 90.00
loop_
_atom_site_label
_atom_site_type_symbol
_atom_site_fract_x
_atom_site_fract_y
_atom_site_fract_z
Tb1 Tb 0.167 0.000 0.333
Sm1 Sm 0.000 0.500 0.500
Sm2 Sm 0.167 0.000 0.833
Dy1 Dy 0.000 0.500 0.000
Bi1 Bi 0.001 0.000 0.247
Bi2 Bi 0.165 0.500 0.085
Bi3 Bi 0.168 0.500 0.581
```

(5)
K2Li2I: relaxed, GGA-PBE.

formation energy without anion corrections = -135 kJ/mol of formula units

```
data_K2Li2I
_symmetry_space_group_name_H-M 'P 4/m b m'
_symmetry_Int_Tables_number 127
_symmetry_space_group_name_Hall '-P 4 2ab'
_cell_length_a 8.188
_cell_length_b 8.188
_cell_length_c 6.067
_cell_angle_alpha 90.00
_cell_angle_beta 90.00
_cell_angle_gamma 90.00
loop_
_atom_site_label
_atom_site_type_symbol
_atom_site_fract_x
_atom_site_fract_y
_atom_site_fract_z
K1 K 0.180 0.320 0.000
Li1 Li 0.127 0.627 0.500
I1 I 0.000 0.000 0.500
```

(6)
DyTiCoRu: relaxed, GGA-PBE.

total energy = -7.506 eV/atom

```
data_DyTiCoRu
_symmetry_space_group_name_H-M 'F -4 3 m'
_symmetry_Int_Tables_number 216
_symmetry_space_group_name_Hall 'F -4 2 3'
_cell_length_a 6.412
_cell_length_b 6.412
_cell_length_c 6.412
_cell_angle_alpha 90.00
_cell_angle_beta 90.00
_cell_angle_gamma 90.00
loop_
_atom_site_label
_atom_site_type_symbol
_atom_site_fract_x
_atom_site_fract_y
_atom_site_fract_z
Dy1 Dy 0.000 0.000 0.000
Ti1 Ti 0.000 0.000 0.500
Co1 Co 0.250 0.250 0.250
Ru1 Ru 0.250 0.250 0.750
```